This record from Alexandria via LeMat-Bulk describes a geometry-optimized HgWO4 structure. The functional is PBE+U.

Output
DFT total energy = -5.99 eV/atom
space group = Pbcn
crystal system = orthorhombic

a = 5.4131 Å, b = 5.5996 Å, c = 12.2044 Å
α = 90.00°, β = 90.00°, γ = 90.00°
Positions (direct):
O1 0.2511 0.5556 0.2329
O2 0.9439 0.7076 0.5948
O3 0.0549 0.7074 0.9052
O4 0.2497 0.4444 0.7329
O5 0.4439 0.2076 0.9052
O6 0.2503 0.0556 0.2329
O7 0.0561 0.2924 0.4052
O8 0.7511 0.0556 0.2671
O9 0.9451 0.2926 0.0948
O10 0.5549 0.2074 0.5948
O11 0.7497 0.9444 0.7671
O12 0.7489 0.4444 0.7671
O13 0.5561 0.7924 0.0948
O14 0.2489 0.9444 0.7329
O15 0.7503 0.5556 0.2671
O16 0.4451 0.7926 0.4052
Hg1 0.0000 0.0000 0.0000
Hg2 0.5000 0.5000 0.0000
Hg3 0.0000 0.0000 0.5000
Hg4 0.5000 0.5000 0.5000
W1 0.4994 0.1680 0.7500
W2 0.0006 0.3320 0.2500
W3 0.5006 0.8320 0.2500
W4 0.9994 0.6680 0.7500